Entry 1:
LiTaRu2: relaxed, PBE.

Output
Density of states at the Fermi level (states/eV/atom): 0.889
Energy above the lowest structure with this stoichiometry (meV/atom): 0
Formation energy from the elements (eV/atom): -0.20
Electronic total energy (eV per atom): -8.280
Total magnetization (μB per cell): 0.00

a b c (Å): 6.120 6.120 6.120
angles (deg): 90.00 90.00 90.00
Space group Fm-3m (No. 225)
Unique sites:
Li: 0.000 0.000 0.000
Ta: 0.000 0.000 0.500
Ru: 0.250 0.250 0.250

---

Entry 2:
TlReS2: relaxed, PBE.

Output
Density of states at the Fermi level (states/eV/atom): 0.532
Energy above the lowest structure with this stoichiometry (meV/atom): 0
Electronic total energy (eV per atom): -5.913
Uncorrected formation energy (eV/atom): -0.1457
Total magnetization (μB per cell): 0.00

a b c (Å): 3.2363 3.2363 28.3464
angles (deg): 90.00 90.00 120.00
Space group R-3m (No. 166, hexagonal axes)
Unique sites:
Tl: 0.0000 0.0000 0.0000
Re: 0.0000 0.0000 0.5000
S: 0.0000 0.0000 0.1119